No. 1
VASP calculation (PBE-GGA) on TlH6N2F after structural relaxation.

Unit cell a=8.827 b=9.719 c=5.581 alpha=90.00 beta=103.70 gamma=90.00
Space group C2/c (No. 15)
One atom of each set of equivalent atoms:
Tl  0.000  0.174  0.250 (multiplicity 4)
H  0.132  0.358  0.989 (multiplicity 8)
H  0.178  0.472  0.220 (multiplicity 8)
H  0.197  0.155  0.800 (multiplicity 8)
N  0.187  0.372  0.172 (multiplicity 8)
F  0.000  0.242  0.750 (multiplicity 4)



No. 2
VASP calculation (PBE-GGA) on ReBiTeI2 after structural relaxation.

Unit cell a=5.462 b=5.462 c=5.180 alpha=90.00 beta=90.00 gamma=90.00
Space group P4/mmm (No. 123)
One atom of each set of equivalent atoms:
Re  0.000  0.000  0.000 (multiplicity 1)
Bi  0.500  0.500  0.500 (multiplicity 1)
Te  0.000  0.000  0.500 (multiplicity 1)
I  0.000  0.500  0.000 (multiplicity 2)

Calculated values
* offset from the most stable computed form: 0.0 meV/atom



Density (computed, g/cm³): 3.676, 8.346
E_tot (computed, hartree per atom): -0.1736, -0.1393